DFT (GGA-PBE) results for a relaxed structure of EuZnAs.

Cell: 4.274 4.274 4.348 Å, 90.00 90.00 120.00°
Element x y z (fractional)
Eu (0.000, 0.000, 0.000)
Zn (0.333, 0.667, 0.500)
As (0.667, 0.333, 0.500)

## Properties
energy: -6.131 eV per atom
E_form: -70.64 kJ per mole of atoms

DFT (GGA-PBE) results for a relaxed structure of PmPaAlO6.

Cell: 5.438 5.438 4.746 Å, 90.00 90.00 120.00°
Element x y z (fractional)
Pm (0.000, 0.000, 0.000)
Pa (0.667, 0.333, 0.500)
Al (0.333, 0.667, 0.000)
O (0.022, 0.387, 0.234)
O (0.022, 0.635, 0.766)
O (0.365, 0.387, 0.766)
O (0.365, 0.978, 0.234)
O (0.613, 0.635, 0.234)
O (0.613, 0.978, 0.766)

## Properties
energy: -8.259 eV per atom
ΔE_f (raw): -2.955 eV per atom

DFT (GGA-PBE) results for a relaxed structure of Ce12Tl3Zn.

Cell: 4.794 4.794 18.996 Å, 90.00 90.00 90.00°
Element x y z (fractional)
Ce (0.000, 0.000, 0.000)
Ce (0.000, 0.000, 0.243)
Ce (0.000, 0.000, 0.500)
Ce (0.000, 0.000, 0.757)
Ce (0.000, 0.500, 0.117)
Ce (0.000, 0.500, 0.372)
Ce (0.000, 0.500, 0.628)
Ce (0.000, 0.500, 0.883)
Ce (0.500, 0.000, 0.117)
Ce (0.500, 0.000, 0.372)
Ce (0.500, 0.000, 0.628)
Ce (0.500, 0.000, 0.883)
Tl (0.500, 0.500, 0.245)
Tl (0.500, 0.500, 0.500)
Tl (0.500, 0.500, 0.755)
Zn (0.500, 0.500, 0.000)

## Properties
energy: -5.067 eV per atom
E_form: -8.98 kJ per mole of atoms